#one
Compound: Tb5NdTm3
Source: the Alexandria database
Functional: PBE
Structure: optimized geometry

Cell lengths 8.7614, 8.7614, 11.3484 Å; angles 106.87, 106.87, 44.80 degrees
Last column: nearest neighbours and their distance in Å.
Sites, in units of the cell vectors:
Tb: 0.1034 0.1140 0.0461  5 Tb 3.35-3.63, 4 Tm 3.46-3.70, 1 Nd 3.72
Tb: 0.1140 0.1034 0.5461  5 Tb 3.35-3.63, 4 Tm 3.46-3.70, 1 Nd 3.72
Tb: 0.1818 0.8182 0.7500  1 Nd 3.02, 2 Tb 3.06
Tb: 0.2090 0.4404 0.6285  1 Tb 3.06, 2 Tm 3.32-3.34
Tb: 0.4404 0.2090 0.1285  1 Tb 3.06, 2 Tm 3.32-3.34
Tb: 0.5596 0.7910 0.8715  1 Tb 3.06, 2 Tm 3.32-3.34
Tb: 0.7910 0.5596 0.3715  1 Tb 3.06, 2 Tm 3.32-3.34
Tb: 0.8182 0.1818 0.2500  1 Nd 3.02, 2 Tb 3.06
Tb: 0.8860 0.8966 0.4539  5 Tb 3.35-3.63, 4 Tm 3.46-3.70, 1 Nd 3.72
Tb: 0.8966 0.8860 0.9539  5 Tb 3.35-3.63, 4 Tm 3.46-3.70, 1 Nd 3.72
Nd: 0.2711 0.7289 0.2500  1 Tb 3.02, 2 Tm 3.22
Nd: 0.7289 0.2711 0.7500  1 Tb 3.02, 2 Tm 3.22
Tm: 0.1198 0.3562 0.8579  7 Tb 3.32-3.60, 1 Tm 3.59
Tm: 0.3562 0.1198 0.3579  7 Tb 3.32-3.60, 1 Tm 3.59
Tm: 0.5000 0.5000 0.0000  2 Nd 3.22, 2 Tb 3.54
Tm: 0.5000 0.5000 0.5000  2 Nd 3.22, 2 Tb 3.54
Tm: 0.6438 0.8802 0.6421  7 Tb 3.32-3.60, 1 Tm 3.59
Tm: 0.8802 0.6438 0.1421  7 Tb 3.32-3.60, 1 Tm 3.59

Values from the calculation:
- Magnetization: 0.00 μB/f.u.
- D(E_F): 1.589 states/eV/atom

#two
Compound: Tb5NdTm3
Source: the Alexandria database
Functional: PBE
Structure: optimized geometry

Cell lengths 9.3230, 9.3230, 12.1779 Å; angles 126.11, 126.11, 50.69 degrees
Last column: nearest neighbours and their distance in Å.
Sites, in units of the cell vectors:
Tb: 0.1791 0.8209 0.0000  1 Tm 2.56, 1 Tb 2.86
Tb: 0.2005 0.2005 0.0703  7 Tb 3.23-3.57, 1 Nd 3.27
Tb: 0.2293 0.6433 0.2214  5 Tb 3.30-3.63, 3 Tm 3.42-3.66, 2 Nd 3.64-3.66
Tb: 0.3567 0.7707 0.7786  5 Tb 3.30-3.63, 3 Tm 3.42-3.66, 2 Nd 3.64-3.66
Tb: 0.3747 0.3747 0.4323  2 Tm 3.33-3.54, 4 Tb 3.34-3.63
Tb: 0.6253 0.6253 0.5677  2 Tm 3.33-3.54, 4 Tb 3.34-3.63
Tb: 0.6433 0.2293 0.2214  5 Tb 3.30-3.63, 3 Tm 3.42-3.66, 2 Nd 3.64-3.66
Tb: 0.7707 0.3567 0.7786  5 Tb 3.30-3.63, 3 Tm 3.42-3.66, 2 Nd 3.64-3.66
Tb: 0.7995 0.7995 0.9297  7 Tb 3.23-3.57, 1 Nd 3.27
Tb: 0.8209 0.1791 0.0000  1 Tm 2.56, 1 Tb 2.86
Nd: 0.2641 0.2641 0.8676  2 Tm 3.17-3.35, 1 Tb 3.27
Nd: 0.7359 0.7359 0.1324  2 Tm 3.17-3.35, 1 Tb 3.27
Tm: 0.0000 0.0000 0.5000  4 Tb 3.66, 2 Nd 3.72, 2 Tm 3.85
Tm: 0.1207 0.1207 0.3189  1 Tm 3.27, 5 Tb 3.31-3.54
Tm: 0.3312 0.3312 0.6623  2 Tm 3.12-3.27, 1 Tb 3.33, 1 Nd 3.35
Tm: 0.5000 0.5000 0.0000  2 Tb 2.56
Tm: 0.6688 0.6688 0.3377  2 Tm 3.12-3.27, 1 Tb 3.33, 1 Nd 3.35
Tm: 0.8793 0.8793 0.6811  1 Tm 3.27, 5 Tb 3.31-3.54

Values from the calculation:
- Magnetization: 0.00 μB/f.u.
- D(E_F): 1.494 states/eV/atom

#one comes first in stability; the runner-up is 0.237 eV/atom higher.